Material: Nd2FeRhO6
Method: DFT, PBE with a Hubbard U
State: relaxed

```
data_Nd2FeRhO6
_cell_length_a 5.474
_cell_length_b 5.762
_cell_length_c 9.519
_cell_angle_alpha 90.00
_cell_angle_beta 124.49
_cell_angle_gamma 90.00
_space_group_name_H-M_alt 'P 1 21/c 1'
_space_group_IT_number 14
_space_group_name_Hall '-P 2ybc'
loop_
_atom_site_label
_atom_site_type_symbol
_atom_site_fract_x
_atom_site_fract_y
_atom_site_fract_z
Nd1 Nd 0.232 0.065 0.250
Fe1 Fe 0.500 0.000 0.000
Rh1 Rh 0.000 0.000 0.500
O1 O 0.148 0.197 0.950
O2 O 0.254 0.706 0.948
O3 O 0.353 0.030 0.753
```

Summary:
Electronic total energy: -7.511 eV per atom
Magnetic moment: 10.0 μB/cell
Calculated density: 7.29 g/cm3